1.
A plane-wave DFT calculation with PBE was carried out for Hf2TiAlV after structural relaxation.

abc: 4.724 4.868 4.724
angles: 90.00 90.00 90.00
Atoms (fractional coordinates):
Ti 0.000 0.000 0.000
Hf 0.000 0.000 0.500
Hf 0.500 0.000 0.000
Al 0.000 0.500 0.000
V 0.500 0.500 0.500



2.
A plane-wave DFT calculation with PBE was carried out for HfTiAlZn after structural relaxation.

abc: 2.934 2.934 7.976
angles: 90.00 90.00 90.00
Atoms (fractional coordinates):
Hf 0.000 0.000 0.073
Ti 0.000 0.000 0.569
Al 0.500 0.500 0.810
Zn 0.500 0.500 0.332



3.
A plane-wave DFT calculation with PBE was carried out for HfZrTiAl after structural relaxation.

abc: 4.162 4.162 5.383
angles: 112.74 112.74 90.00
Atoms (fractional coordinates):
Hf 0.250 0.750 0.500
Zr 0.000 0.000 0.000
Ti 0.750 0.250 0.500
Al 0.500 0.500 0.000



4.
A plane-wave DFT calculation with PBE was carried out for Hf12AlTl3 after structural relaxation.

abc: 4.418 4.418 17.636
angles: 90.00 90.00 90.00
Atoms (fractional coordinates):
Hf 0.500 0.500 0.000
Hf 0.500 0.500 0.247
Hf 0.500 0.500 0.500
Hf 0.500 0.500 0.753
Hf 0.500 0.000 0.119
Hf 0.500 0.000 0.373
Hf 0.500 0.000 0.627
Hf 0.500 0.000 0.881
Hf 0.000 0.500 0.119
Hf 0.000 0.500 0.373
Hf 0.000 0.500 0.627
Hf 0.000 0.500 0.881
Al 0.000 0.000 0.000
Tl 0.000 0.000 0.247
Tl 0.000 0.000 0.500
Tl 0.000 0.000 0.753



5.
A plane-wave DFT calculation with PBE was carried out for Hf2AlTl2 after structural relaxation.

Computed properties:
E above lowest polymorph, eV/atom: 0.356

abc: 4.112 4.112 7.870
angles: 74.85 74.85 90.00
Atoms (fractional coordinates):
Tl 0.750 0.250 0.500
Tl 0.250 0.750 0.500
Hf 0.409 0.409 0.183
Hf 0.591 0.591 0.817
Al 0.000 0.000 0.000



6.
A plane-wave DFT calculation with PBE was carried out for Hf6AlTl after structural relaxation.

abc: 4.387 4.387 8.785
angles: 90.00 90.00 90.00
Atoms (fractional coordinates):
Hf 0.500 0.500 0.000
Hf 0.500 0.500 0.500
Hf 0.500 0.000 0.259
Hf 0.500 0.000 0.741
Hf 0.000 0.500 0.259
Hf 0.000 0.500 0.741
Al 0.000 0.000 0.500
Tl 0.000 0.000 0.000



7.
A plane-wave DFT calculation with PBE was carried out for Hf12Al3Tl5 after structural relaxation.

abc: 14.268 14.268 14.268
angles: 109.47 109.47 109.47
Atoms (fractional coordinates):
Al 0.750 0.375 0.125
Al 0.875 0.750 0.125
Al 0.375 0.750 0.625
Al 0.250 0.125 0.375
Al 0.875 0.125 0.250
Al 0.375 0.625 0.250
Al 0.625 0.375 0.750
Al 0.125 0.875 0.750
Al 0.750 0.875 0.625
Al 0.625 0.250 0.375
Al 0.125 0.250 0.875
Al 0.250 0.625 0.875
Tl 0.125 0.375 0.250
Tl 0.000 0.500 0.000
Tl 0.000 0.000 0.000
Tl 0.375 0.250 0.125
Tl 0.500 0.000 0.500
Tl 0.500 0.500 0.000
Tl 0.125 0.750 0.375
Tl 0.750 0.125 0.875
Tl 0.750 0.625 0.375
Tl 0.375 0.125 0.750
Tl 0.625 0.875 0.250
Tl 0.500 0.500 0.500
Tl 0.500 0.000 0.000
Tl 0.000 0.000 0.500
Tl 0.250 0.375 0.625
Tl 0.250 0.875 0.125
Tl 0.000 0.500 0.500
Tl 0.875 0.250 0.625
Tl 0.625 0.750 0.875
Tl 0.875 0.625 0.750
Hf 0.730 0.146 0.072
Hf 0.342 0.572 0.427
Hf 0.928 0.354 0.270
Hf 0.572 0.230 0.146
Hf 0.585 0.730 0.658
Hf 0.928 0.573 0.158
Hf 0.342 0.770 0.415
Hf 0.073 0.915 0.146
Hf 0.573 0.928 0.658
Hf 0.730 0.585 0.158
Hf 0.770 0.428 0.354
Hf 0.842 0.927 0.072
Hf 0.146 0.730 0.572
Hf 0.354 0.427 0.085
Hf 0.085 0.927 0.354
Hf 0.415 0.146 0.573
Hf 0.085 0.158 0.230
Hf 0.428 0.658 0.073
Hf 0.842 0.915 0.270
Hf 0.146 0.415 0.073
Hf 0.354 0.928 0.770
Hf 0.573 0.646 0.415
Hf 0.927 0.842 0.572
Hf 0.770 0.342 0.915
Hf 0.427 0.354 0.585
Hf 0.073 0.158 0.428
Hf 0.230 0.658 0.085
Hf 0.158 0.085 0.730
Hf 0.646 0.072 0.230
Hf 0.854 0.585 0.927
Hf 0.572 0.342 0.927
Hf 0.585 0.854 0.427
Hf 0.915 0.842 0.770
Hf 0.915 0.073 0.646
Hf 0.854 0.270 0.428
Hf 0.158 0.073 0.928
Hf 0.646 0.573 0.915
Hf 0.427 0.072 0.342
Hf 0.270 0.415 0.842
Hf 0.230 0.572 0.646
Hf 0.927 0.085 0.854
Hf 0.658 0.230 0.585
Hf 0.428 0.770 0.854
Hf 0.072 0.427 0.842
Hf 0.415 0.270 0.342
Hf 0.072 0.646 0.730
Hf 0.658 0.428 0.573
Hf 0.270 0.854 0.928



8.
A plane-wave DFT calculation with PBE was carried out for Hf2AlTl2 after structural relaxation.

Computed properties:
E above lowest polymorph, eV/atom: 0.000

abc: 7.252 7.252 4.468
angles: 90.00 90.00 90.00
Atoms (fractional coordinates):
Tl 0.156 0.656 0.500
Tl 0.656 0.844 0.500
Tl 0.844 0.344 0.500
Tl 0.344 0.156 0.500
Hf 0.346 0.846 0.000
Hf 0.846 0.654 0.000
Hf 0.654 0.154 0.000
Hf 0.154 0.346 0.000
Al 0.000 0.000 0.000
Al 0.500 0.500 0.000



9.
A plane-wave DFT calculation with PBE was carried out for HfAlTl2V after structural relaxation.

abc: 5.124 5.124 4.780
angles: 90.00 90.00 90.00
Atoms (fractional coordinates):
Tl 0.000 0.500 0.000
Tl 0.500 0.000 0.000
Hf 0.500 0.500 0.500
Al 0.000 0.000 0.000
V 0.000 0.000 0.500



10.
A plane-wave DFT calculation with PBE was carried out for TmHf3Al8 after structural relaxation.

Computed properties:
E above lowest polymorph, eV/atom: 0.007

abc: 5.307 5.307 8.799
angles: 90.00 90.00 120.00
Atoms (fractional coordinates):
Tm 0.000 0.000 0.565
Hf 0.667 0.333 0.428
Hf 0.667 0.333 0.066
Hf 0.000 0.000 0.937
Al 0.333 0.667 0.499
Al 0.333 0.667 0.001
Al 0.504 0.008 0.755
Al 0.504 0.496 0.755
Al 0.992 0.496 0.755
Al 0.163 0.325 0.246
Al 0.163 0.837 0.246
Al 0.675 0.837 0.246



11.
A plane-wave DFT calculation with PBE was carried out for TmHfAl6 after structural relaxation.

abc: 4.154 4.154 8.320
angles: 90.00 90.00 90.00
Atoms (fractional coordinates):
Tm 0.000 0.000 0.000
Hf 0.000 0.000 0.500
Al 0.500 0.500 0.000
Al 0.500 0.500 0.500
Al 0.500 0.000 0.257
Al 0.500 0.000 0.743
Al 0.000 0.500 0.257
Al 0.000 0.500 0.743



12.
A plane-wave DFT calculation with PBE was carried out for TmHfAl4 after structural relaxation.

abc: 5.390 5.390 5.390
angles: 60.00 60.00 60.00
Atoms (fractional coordinates):
Tm 0.250 0.250 0.250
Hf 0.000 0.000 0.000
Al 0.625 0.625 0.124
Al 0.625 0.124 0.625
Al 0.625 0.625 0.625
Al 0.124 0.625 0.625



13.
A plane-wave DFT calculation with PBE was carried out for TmHf2Al6 after structural relaxation.

Computed properties:
E above lowest polymorph, eV/atom: 0.135

abc: 4.228 7.659 7.659
angles: 51.64 73.98 73.98
Atoms (fractional coordinates):
Tm 0.000 0.000 0.000
Hf 0.884 0.616 0.616
Hf 0.116 0.384 0.384
Al 0.691 0.017 0.601
Al 0.309 0.983 0.399
Al 0.309 0.399 0.983
Al 0.500 0.690 0.310
Al 0.500 0.310 0.690
Al 0.691 0.601 0.017



14.
A plane-wave DFT calculation with PBE was carried out for TmHfAl2 after structural relaxation.

Computed properties:
E above lowest polymorph, eV/atom: 0.186

abc: 3.282 3.282 9.541
angles: 80.10 80.10 60.00
Atoms (fractional coordinates):
Tm 0.500 0.500 0.500
Hf 0.000 0.000 0.000
Al 0.746 0.746 0.761
Al 0.254 0.254 0.239



15.
A plane-wave DFT calculation with PBE was carried out for TmHf2Al6 after structural relaxation.

Computed properties:
E above lowest polymorph, eV/atom: 0.000

abc: 3.164 7.783 7.783
angles: 120.00 90.00 90.00
Atoms (fractional coordinates):
Tm 0.000 0.000 0.000
Hf 0.000 0.333 0.667
Hf 0.000 0.667 0.333
Al 0.500 0.336 0.336
Al 0.500 0.664 0.664
Al 0.500 0.000 0.664
Al 0.500 0.664 0.000
Al 0.500 0.336 0.000
Al 0.500 0.000 0.336



16.
A plane-wave DFT calculation with PBE was carried out for Tm2HfAl6 after structural relaxation.

abc: 3.257 7.837 7.837
angles: 59.99 90.00 90.00
Atoms (fractional coordinates):
Tm 0.000 0.333 0.333
Tm 0.000 0.667 0.667
Hf 0.000 0.000 0.000
Al 0.500 0.669 0.000
Al 0.500 0.000 0.331
Al 0.500 0.331 0.000
Al 0.500 0.669 0.331
Al 0.500 0.000 0.669
Al 0.500 0.331 0.669



17.
A plane-wave DFT calculation with PBE was carried out for TmHfAl2 after structural relaxation.

Computed properties:
E above lowest polymorph, eV/atom: 0.039

abc: 4.877 4.877 4.877
angles: 60.00 60.00 60.00
Atoms (fractional coordinates):
Tm 0.000 0.000 0.000
Hf 0.500 0.500 0.500
Al 0.250 0.250 0.250
Al 0.750 0.750 0.750



18.
A plane-wave DFT calculation with PBE was carried out for TmHfAl2 after structural relaxation.

Computed properties:
E above lowest polymorph, eV/atom: 0.000

abc: 3.542 3.542 6.568
angles: 90.00 90.00 90.00
Atoms (fractional coordinates):
Tm 0.500 0.500 0.500
Hf 0.500 0.500 0.000
Al 0.000 0.000 0.777
Al 0.000 0.000 0.223



19.
A plane-wave DFT calculation with PBE was carried out for Tm2HfAl after structural relaxation.

Computed properties:
E above lowest polymorph, eV/atom: 0.016

abc: 4.581 4.529 4.529
angles: 90.00 90.00 90.00
Atoms (fractional coordinates):
Tm 0.000 0.000 0.500
Tm 0.000 0.500 0.000
Hf 0.500 0.500 0.500
Al 0.500 0.000 0.000



20.
A plane-wave DFT calculation with PBE was carried out for Tm2HfAl after structural relaxation.

Computed properties:
E above lowest polymorph, eV/atom: 0.389

abc: 3.234 3.234 11.325
angles: 81.79 81.79 60.00
Atoms (fractional coordinates):
Tm 0.096 0.096 0.713
Tm 0.904 0.904 0.287
Hf 0.000 0.000 0.000
Al 0.500 0.500 0.500



Calculated formation energy from the elements in order - 1.152; -0.264; -0.222; -0.048; 0.559; -0.110; 0.738; 0.203; 1.117; -0.442; -0.390; -0.455; -0.240; -0.109; -0.375; -0.423; -0.256; -0.295; -0.128; 0.245 eV/atom